Computed, not measured: an optimized crystal structure of W3SF at the PBE with a Hubbard U level of DFT.

```
5
Lattice="4.537 0.000 0.000 0.000 4.537 0.000 0.000 0.000 4.537" Properties=species:S:1:pos:R:3 pbc="T T T"
S 0.000 0.000 0.000
W 0.000 2.269 0.000
W 0.000 0.000 2.269
W 2.269 0.000 0.000
F 2.269 2.269 2.269
```

Results
- Space-group type: Pm-3m
- Total energy: -20.1 eV for the cell shown
- Total magnetic moment: 2.9 Bohr magnetons per cell